1.
This record from the Alexandria database describes an optimized crystal structure of KNa4Cd2. The functional is PBE-GGA.

Output
Calculated formation energy ... -0.023 eV/atom
Magnetic moment ... 0.00 μB/f.u.
Mass density ... 2.4 g/cm3
D(E_F) ... 0.39 states/eV/atom

Unit cell a=4.938 b=19.885 c=5.094 alpha=90.00 beta=90.00 gamma=90.00
Space group Cmmm (No. 65)
Inequivalent atoms, fractional coordinates:
K (0.000, 0.000, 0.000) (multiplicity 2)
Na (0.000, 0.181, 0.500) (multiplicity 4)
Na (0.000, 0.323, 0.000) (multiplicity 4)
Cd (0.000, 0.427, 0.500) (multiplicity 4)


2.
This record from the Alexandria database describes an optimized crystal structure of LiLa2Ir9. The functional is PBE-GGA.

Output
Calculated formation energy ... -0.271 eV/atom
Magnetic moment ... 0.00 μB/f.u.
Mass density ... 15.2 g/cm3
D(E_F) ... 1.01 states/eV/atom

Unit cell a=5.3519 b=5.3519 c=26.6116 alpha=90.00 beta=90.00 gamma=120.00
Space group R-3m (No. 166, hexagonal axes)
Inequivalent atoms, fractional coordinates:
Li (0.0000, 0.0000, 0.0000) (multiplicity 3)
La (0.0000, 0.0000, 0.1360) (multiplicity 6)
Ir (0.0000, 0.0000, 0.3320) (multiplicity 6)
Ir (0.0000, 0.0000, 0.5000) (multiplicity 3)
Ir (0.0036, 0.5018, 0.0796) (multiplicity 18)


3.
This record from the Alexandria database describes an optimized crystal structure of Ti2MnNb. The functional is PBE-GGA.

Output
Calculated formation energy ... -0.123 eV/atom
E above lowest polymorph ... 0.0 meV/atom
Magnetic moment ... 0.00 μB/f.u.
Mass density ... 6.5 g/cm3
D(E_F) ... 1.13 states/eV/atom

Unit cell a=3.002 b=3.002 c=6.875 alpha=90.00 beta=90.00 gamma=90.00
Space group P4/mmm (No. 123)
Inequivalent atoms, fractional coordinates:
Ti (0.000, 0.000, 0.208) (multiplicity 2)
Mn (0.500, 0.500, 0.000) (multiplicity 1)
Nb (0.500, 0.500, 0.500) (multiplicity 1)


4.
This record from the Alexandria database describes an optimized crystal structure of ZrCuRh2. The functional is PBE-GGA.

Output
Calculated formation energy ... -0.474 eV/atom
Magnetic moment ... 0.00 μB/f.u.
Mass density ... 9.7 g/cm3
D(E_F) ... 1.36 states/eV/atom

Unit cell a=3.879 b=3.879 c=8.189 alpha=90.00 beta=90.00 gamma=90.00
Space group I-4m2 (No. 119)
Inequivalent atoms, fractional coordinates:
Zr (0.000, 0.000, 0.000) (multiplicity 2)
Cu (0.000, 0.500, 0.250) (multiplicity 2)
Rh (0.000, 0.000, 0.500) (multiplicity 2)
Rh (0.000, 0.500, 0.750) (multiplicity 2)


5.
This record from the Alexandria database describes an optimized crystal structure of NdHoGaAu. The functional is PBE-GGA.

Output
Calculated formation energy ... -0.650 eV/atom
E above lowest polymorph ... 38.6 meV/atom
Magnetic moment ... 0.00 μB/f.u.
Mass density ... 9.7 g/cm3
D(E_F) ... 0.91 states/eV/atom

Unit cell a=7.325 b=7.325 c=7.325 alpha=90.00 beta=90.00 gamma=90.00
Space group F-43m (No. 216)
Inequivalent atoms, fractional coordinates:
Nd (0.000, 0.000, 0.000) (multiplicity 4)
Ho (0.000, 0.000, 0.500) (multiplicity 4)
Ga (0.250, 0.250, 0.750) (multiplicity 4)
Au (0.250, 0.250, 0.250) (multiplicity 4)


6.
This record from the Alexandria database describes an optimized crystal structure of UInGa2Br8. The functional is PBE-GGA.

Output
Magnetic moment ... 0.92 μB/f.u.
Formation energy without anion corrections ... -0.9074 eV per atom
Mass density ... 3.9 g/cm3

Unit cell a=7.008 b=9.314 c=7.429 alpha=90.00 beta=90.58 gamma=90.00
Space group P2/m (No. 10)
Inequivalent atoms, fractional coordinates:
U (0.000, 0.000, 0.000) (multiplicity 1)
In (0.000, 0.500, 0.000) (multiplicity 1)
Ga (0.500, 0.282, 0.500) (multiplicity 2)
Br (0.218, 0.000, 0.298) (multiplicity 2)
Br (0.222, 0.210, 0.857) (multiplicity 4)
Br (0.283, 0.500, 0.341) (multiplicity 2)


7.
This record from the Alexandria database describes an optimized crystal structure of BaSmCu2. The functional is PBE-GGA.

Output
Calculated formation energy ... -0.060 eV/atom
Magnetic moment ... 0.00 μB/f.u.
Mass density ... 6.5 g/cm3
D(E_F) ... 0.79 states/eV/atom

Unit cell a=3.746 b=3.746 c=7.502 alpha=90.00 beta=90.00 gamma=90.00
Space group P4/mmm (No. 123)
Inequivalent atoms, fractional coordinates:
Ba (0.000, 0.000, 0.000) (multiplicity 1)
Sm (0.000, 0.000, 0.500) (multiplicity 1)
Cu (0.500, 0.500, 0.316) (multiplicity 2)


8.
This record from the Alexandria database describes an optimized crystal structure of SrLiAlGa. The functional is PBE-GGA.

Output
Calculated formation energy ... -0.285 eV/atom
Magnetic moment ... 0.00 μB/f.u.
Mass density ... 3.3 g/cm3
D(E_F) ... 0.43 states/eV/atom

Unit cell a=7.712 b=4.460 c=6.168 alpha=90.00 beta=114.79 gamma=90.00
Space group Cm (No. 8)
Inequivalent atoms, fractional coordinates:
Sr (0.000, 0.000, 0.000) (multiplicity 2)
Li (0.303, 0.500, 0.409) (multiplicity 2)
Al (0.005, 0.500, 0.518) (multiplicity 2)
Ga (0.206, 0.000, 0.620) (multiplicity 2)